Record 1
Computed, not measured: crystalline Nd8Ge3I4Cl at its relaxed geometry at the GGA-PBE level of DFT.

Values from the calculation:
**Uncorrected formation energy**: -1055 meV per atom
**Spin magnetization**: 0.00 μB per formula unit
**V**: 494 Å³ per cell
**N(E_F)**: 8.69 states/eV/f.u.

a b c (Å): 8.604 9.176 8.602
angles (deg): 117.96 120.01 90.00
Atoms (fractional coordinates):
Nd: 0.231 0.696 0.965
Nd: 0.231 0.696 0.462
Nd: 0.267 0.301 0.534
Nd: 0.734 0.696 0.965
Nd: 0.266 0.304 0.035
Nd: 0.733 0.699 0.466
Nd: 0.769 0.304 0.538
Nd: 0.769 0.304 0.035
Ge: 0.500 0.500 0.000
Ge: 0.500 0.500 0.500
Ge: 0.000 0.500 0.500
I: 0.500 0.000 0.000
I: 0.500 0.000 0.500
I: 0.000 0.000 0.000
I: 0.000 0.000 0.500
Cl: 0.000 0.500 0.000


Record 2
Computed, not measured: crystalline NiGeI2Cl at its relaxed geometry at the GGA-PBE level of DFT.

Values from the calculation:
**Uncorrected formation energy**: 479 meV per atom
**Spin magnetization**: 1.43 μB per formula unit
**V**: 152 Å³ per cell
**N(E_F)**: 7.10 states/eV/f.u.

a b c (Å): 5.738 4.603 5.738
angles (deg): 90.00 90.00 90.00
Atoms (fractional coordinates):
I: 0.000 0.000 0.500
I: 0.500 0.000 0.000
Ni: 0.000 0.500 0.000
Ge: 0.000 0.000 0.000
Cl: 0.500 0.500 0.500


Record 3
Computed, not measured: crystalline GeICl2O at its relaxed geometry at the GGA-PBE level of DFT.

Values from the calculation:
**Uncorrected formation energy**: -244 meV per atom
**Spin magnetization**: 0.00 μB per formula unit
**V**: 111 Å³ per cell
**N(E_F)**: 6.43 states/eV/f.u.

a b c (Å): 5.534 3.617 5.534
angles (deg): 90.00 90.00 90.00
Atoms (fractional coordinates):
I: 0.500 0.500 0.500
Ge: 0.000 0.000 0.000
O: 0.000 0.500 0.000
Cl: 0.000 0.000 0.500
Cl: 0.500 0.000 0.000


Record 4
Computed, not measured: crystalline Pm8Ge3I4Cl at its relaxed geometry at the GGA-PBE level of DFT.

Values from the calculation:
**Uncorrected formation energy**: -1043 meV per atom
**Spin magnetization**: 0.00 μB per formula unit
**V**: 483 Å³ per cell
**N(E_F)**: 8.39 states/eV/f.u.

a b c (Å): 8.540 9.106 8.540
angles (deg): 117.98 120.00 90.00
Atoms (fractional coordinates):
Pm: 0.230 0.695 0.965
Pm: 0.230 0.695 0.461
Pm: 0.267 0.302 0.535
Pm: 0.735 0.695 0.965
Pm: 0.265 0.305 0.035
Pm: 0.733 0.698 0.465
Pm: 0.770 0.305 0.539
Pm: 0.770 0.305 0.035
Ge: 0.500 0.500 0.000
Ge: 0.500 0.500 0.500
Ge: 0.000 0.500 0.500
I: 0.500 0.000 0.000
I: 0.500 0.000 0.500
I: 0.000 0.000 0.000
I: 0.000 0.000 0.500
Cl: 0.000 0.500 0.000


Record 5
Computed, not measured: crystalline Pm6Ge2I3Cl at its relaxed geometry at the GGA-PBE level of DFT.

Values from the calculation:
**Uncorrected formation energy**: -1051 meV per atom
**Spin magnetization**: 0.00 μB per formula unit
**V**: 358 Å³ per cell
**N(E_F)**: 5.57 states/eV/f.u.

a b c (Å): 7.325 7.325 8.102
angles (deg): 98.68 98.68 120.10
Atoms (fractional coordinates):
Pm: 0.936 0.608 0.806
Pm: 0.738 0.738 0.196
Pm: 0.064 0.392 0.194
Pm: 0.608 0.936 0.806
Pm: 0.262 0.262 0.804
Pm: 0.392 0.064 0.194
Ge: 0.334 0.666 0.000
Ge: 0.666 0.334 0.000
I: 0.171 0.829 0.500
I: 0.829 0.171 0.500
I: 0.500 0.500 0.500
Cl: 0.000 0.000 0.000


Record 6
Computed, not measured: crystalline Pr8Ge3I4Cl at its relaxed geometry at the GGA-PBE level of DFT.

Values from the calculation:
**Uncorrected formation energy**: -1068 meV per atom
**Spin magnetization**: 0.00 μB per formula unit
**V**: 506 Å³ per cell
**N(E_F)**: 8.75 states/eV/f.u.

a b c (Å): 8.668 9.248 8.668
angles (deg): 117.95 120.00 90.00
Atoms (fractional coordinates):
Pr: 0.232 0.697 0.965
Pr: 0.232 0.697 0.464
Pr: 0.267 0.300 0.534
Pr: 0.733 0.697 0.965
Pr: 0.267 0.303 0.035
Pr: 0.733 0.700 0.466
Pr: 0.768 0.303 0.536
Pr: 0.768 0.303 0.035
Ge: 0.500 0.500 0.000
Ge: 0.500 0.500 0.500
Ge: 0.000 0.500 0.500
I: 0.500 0.000 0.000
I: 0.500 0.000 0.500
I: 0.000 0.000 0.000
I: 0.000 0.000 0.500
Cl: 0.000 0.500 0.000


Record 7
Computed, not measured: crystalline Pr6Ge2I3Cl at its relaxed geometry at the GGA-PBE level of DFT.

Values from the calculation:
**Uncorrected formation energy**: -1080 meV per atom
**Spin magnetization**: 0.00 μB per formula unit
**V**: 375 Å³ per cell
**N(E_F)**: 5.60 states/eV/f.u.

a b c (Å): 7.426 7.426 8.243
angles (deg): 98.64 98.64 120.11
Atoms (fractional coordinates):
Pr: 0.935 0.606 0.804
Pr: 0.738 0.738 0.198
Pr: 0.065 0.394 0.196
Pr: 0.606 0.935 0.804
Pr: 0.262 0.262 0.802
Pr: 0.394 0.065 0.196
Ge: 0.334 0.666 0.000
Ge: 0.666 0.334 0.000
I: 0.172 0.828 0.500
I: 0.828 0.172 0.500
I: 0.500 0.500 0.500
Cl: 0.000 0.000 0.000


Record 8
Computed, not measured: crystalline Rb2GeI6Cl at its relaxed geometry at the GGA-PBE level of DFT.

Values from the calculation:
**Uncorrected formation energy**: -627 meV per atom
**Spin magnetization**: 0.00 μB per formula unit
**V**: 426 Å³ per cell
**N(E_F)**: 7.05 states/eV/f.u.

a b c (Å): 8.649 8.649 8.354
angles (deg): 58.83 58.83 90.00
Atoms (fractional coordinates):
I: 0.248 0.248 0.504
I: 0.752 0.752 0.496
I: 0.229 0.229 0.000
I: 0.771 0.771 0.000
I: 0.771 0.229 0.000
I: 0.229 0.771 0.000
Ge: 0.000 0.000 0.000
Rb: 0.750 0.250 0.500
Rb: 0.250 0.750 0.500
Cl: 0.500 0.500 0.000


Record 9
Computed, not measured: crystalline GeSICl2 at its relaxed geometry at the GGA-PBE level of DFT.

Values from the calculation:
**Uncorrected formation energy**: 591 meV per atom
**Spin magnetization**: 0.66 μB per formula unit
**V**: 155 Å³ per cell
**N(E_F)**: 2.51 states/eV/f.u.

a b c (Å): 5.447 5.447 5.213
angles (deg): 90.00 90.00 90.00
Atoms (fractional coordinates):
I: 0.000 0.000 0.000
Ge: 0.500 0.500 0.500
S: 0.000 0.000 0.500
Cl: 0.000 0.500 0.000
Cl: 0.500 0.000 0.000


Record 10
Computed, not measured: crystalline GeSICl2 at its relaxed geometry at the GGA-PBE level of DFT.

Values from the calculation:
**Uncorrected formation energy**: 26 meV per atom
**Spin magnetization**: 0.00 μB per formula unit
**V**: 127 Å³ per cell
**N(E_F)**: 2.56 states/eV/f.u.

a b c (Å): 4.763 4.763 5.580
angles (deg): 90.00 90.00 90.00
Atoms (fractional coordinates):
I: 0.500 0.500 0.500
Ge: 0.000 0.000 0.000
S: 0.000 0.000 0.500
Cl: 0.000 0.500 0.000
Cl: 0.500 0.000 0.000


Record 11
Computed, not measured: crystalline GeSbI2Cl at its relaxed geometry at the GGA-PBE level of DFT.

Values from the calculation:
**Uncorrected formation energy**: 779 meV per atom
**Spin magnetization**: 0.00 μB per formula unit
**V**: 173 Å³ per cell
**N(E_F)**: 2.88 states/eV/f.u.

a b c (Å): 5.505 5.505 5.694
angles (deg): 90.00 90.00 90.00
Atoms (fractional coordinates):
I: 0.000 0.500 0.000
I: 0.500 0.000 0.000
Sb: 0.000 0.000 0.500
Ge: 0.500 0.500 0.500
Cl: 0.000 0.000 0.000


Record 12
Computed, not measured: crystalline GeSb2ICl at its relaxed geometry at the GGA-PBE level of DFT.

Values from the calculation:
**Uncorrected formation energy**: 787 meV per atom
**Spin magnetization**: 0.00 μB per formula unit
**V**: 175 Å³ per cell
**N(E_F)**: 3.69 states/eV/f.u.

a b c (Å): 5.125 5.125 6.675
angles (deg): 90.00 90.00 90.00
Atoms (fractional coordinates):
I: 0.000 0.000 0.500
Sb: 0.000 0.500 0.000
Sb: 0.500 0.000 0.000
Ge: 0.500 0.500 0.500
Cl: 0.000 0.000 0.000


Record 13
Computed, not measured: crystalline GeSbI2Cl at its relaxed geometry at the GGA-PBE level of DFT.

Values from the calculation:
**Uncorrected formation energy**: 292 meV per atom
**Spin magnetization**: 0.01 μB per formula unit
**V**: 174 Å³ per cell
**N(E_F)**: 3.63 states/eV/f.u.

a b c (Å): 5.566 5.566 5.630
angles (deg): 90.00 90.00 90.00
Atoms (fractional coordinates):
I: 0.000 0.500 0.000
I: 0.500 0.000 0.000
Sb: 0.000 0.000 0.500
Ge: 0.000 0.000 0.000
Cl: 0.500 0.500 0.500


Record 14
Computed, not measured: crystalline GeSb2ICl at its relaxed geometry at the GGA-PBE level of DFT.

Values from the calculation:
**Uncorrected formation energy**: 455 meV per atom
**Spin magnetization**: 0.55 μB per formula unit
**V**: 167 Å³ per cell
**N(E_F)**: 4.79 states/eV/f.u.

a b c (Å): 5.465 5.465 5.591
angles (deg): 90.00 90.00 90.00
Atoms (fractional coordinates):
I: 0.000 0.000 0.500
Sb: 0.000 0.500 0.000
Sb: 0.500 0.000 0.000
Ge: 0.000 0.000 0.000
Cl: 0.500 0.500 0.500


Record 15
Computed, not measured: crystalline Sr4GeICl2 at its relaxed geometry at the GGA-PBE level of DFT.

Values from the calculation:
**Uncorrected formation energy**: -1345 meV per atom
**Spin magnetization**: 0.00 μB per formula unit
**V**: 273 Å³ per cell
**N(E_F)**: 3.67 states/eV/f.u.

a b c (Å): 4.650 7.648 8.146
angles (deg): 70.16 90.00 90.00
Atoms (fractional coordinates):
Sr: 0.000 0.753 0.718
Sr: 0.000 0.247 0.282
Sr: 0.500 0.734 0.283
Sr: 0.500 0.266 0.717
Ge: 0.000 0.500 0.500
I: 0.500 0.500 0.000
Cl: 0.000 0.000 0.000
Cl: 0.500 0.000 0.500


Record 16
Computed, not measured: crystalline GeTe2ICl at its relaxed geometry at the GGA-PBE level of DFT.

Values from the calculation:
**Uncorrected formation energy**: 391 meV per atom
**Spin magnetization**: 0.00 μB per formula unit
**V**: 167 Å³ per cell
**N(E_F)**: 6.11 states/eV/f.u.

a b c (Å): 5.474 5.474 5.572
angles (deg): 90.00 90.00 90.00
Atoms (fractional coordinates):
I: 0.000 0.000 0.500
Ge: 0.000 0.000 0.000
Te: 0.000 0.500 0.000
Te: 0.500 0.000 0.000
Cl: 0.500 0.500 0.500


Record 17
Computed, not measured: crystalline GeTe2ICl at its relaxed geometry at the GGA-PBE level of DFT.

Values from the calculation:
**Uncorrected formation energy**: 765 meV per atom
**Spin magnetization**: 0.00 μB per formula unit
**V**: 167 Å³ per cell
**N(E_F)**: 5.00 states/eV/f.u.

a b c (Å): 5.521 5.521 5.475
angles (deg): 90.00 90.00 90.00
Atoms (fractional coordinates):
I: 0.000 0.000 0.500
Ge: 0.500 0.500 0.500
Te: 0.000 0.500 0.000
Te: 0.500 0.000 0.000
Cl: 0.000 0.000 0.000


Record 18
Computed, not measured: crystalline Tl2GeI2Cl4 at its relaxed geometry at the GGA-PBE level of DFT.

Values from the calculation:
**Uncorrected formation energy**: -708 meV per atom
**Spin magnetization**: 0.00 μB per formula unit
**V**: 291 Å³ per cell

a b c (Å): 7.491 7.491 7.491
angles (deg): 87.58 121.41 121.41
Atoms (fractional coordinates):
Tl: 0.500 0.750 0.250
Tl: 0.500 0.250 0.750
Ge: 0.000 0.000 0.000
I: 0.000 0.745 0.745
I: 0.000 0.255 0.255
Cl: 0.000 0.775 0.225
Cl: 0.550 0.775 0.775
Cl: 0.000 0.225 0.775
Cl: 0.450 0.225 0.225


Record 19
Computed, not measured: crystalline TlGeI2Cl at its relaxed geometry at the GGA-PBE level of DFT.

Values from the calculation:
**Uncorrected formation energy**: -547 meV per atom
**Spin magnetization**: 0.00 μB per formula unit
**V**: 183 Å³ per cell
**N(E_F)**: 0.02 states/eV/f.u.

a b c (Å): 5.953 5.953 5.158
angles (deg): 90.00 90.00 90.00
Atoms (fractional coordinates):
I: 0.000 0.500 0.000
I: 0.500 0.000 0.000
Tl: 0.500 0.500 0.500
Ge: 0.000 0.000 0.000
Cl: 0.000 0.000 0.500


Record 20
Computed, not measured: crystalline TlGeI2Cl at its relaxed geometry at the GGA-PBE level of DFT.

Values from the calculation:
**Uncorrected formation energy**: -574 meV per atom
**Spin magnetization**: 0.00 μB per formula unit
**V**: 382 Å³ per cell

a b c (Å): 8.360 8.360 8.047
angles (deg): 121.29 121.29 90.00
Atoms (fractional coordinates):
Tl: 0.749 0.249 0.498
Tl: 0.249 0.749 0.498
Ge: 0.022 0.022 0.043
Ge: 0.522 0.522 0.043
I: 0.301 0.801 0.996
I: 0.801 0.695 0.996
I: 0.695 0.195 0.996
I: 0.195 0.301 0.996
Cl: 0.734 0.734 0.468
Cl: 0.234 0.234 0.468